DFT (PBE) results for a relaxed Tb2PmTm2Mg5 crystal.

```
data_Tb2PmTm2Mg5
_space_group_name_H-M_alt 'P 1'
_space_group_IT_number 1
_space_group_name_Hall 'P 1'
_cell_length_a 5.093
_cell_length_b 10.582
_cell_length_c 10.582
_cell_angle_alpha 90.00
_cell_angle_beta 90.00
_cell_angle_gamma 90.00
loop_
_atom_site_label
_atom_site_fract_x
_atom_site_fract_y
_atom_site_fract_z
Mg1 0.500 0.425 0.301
Mg2 0.500 0.301 0.575
Mg3 0.500 0.699 0.425
Mg4 0.500 0.000 0.500
Mg5 0.500 0.199 0.075
Mg6 0.500 0.575 0.699
Mg7 0.500 0.801 0.925
Mg8 0.500 0.500 0.000
Mg9 0.500 0.925 0.199
Mg10 0.500 0.075 0.801
Tm1 0.000 0.118 0.618
Tm2 0.000 0.882 0.382
Tm3 0.000 0.618 0.882
Tm4 0.000 0.382 0.118
Tb1 0.000 0.822 0.678
Tb2 0.000 0.678 0.178
Tb3 0.000 0.178 0.322
Tb4 0.000 0.322 0.822
Pm1 0.000 0.000 0.000
Pm2 0.000 0.500 0.500
```

Results
The calculation puts the energy of formation at 0.07 eV/atom. The calculation puts the total magnetization at 0.000 μB/cell. As for the density of states at the Fermi level: 17.1 states/eV/cell. The calculation puts the total energy at -30.3 eV/f.u.